(1)
A geometry-optimized Li2Cd8Ga structure. Source: Alexandria, functional PBE-GGA.

The excess energy over the best structure of this formula in the dataset is 0 meV/atom. For the total magnetization, the calculation gives 0.00 μB/atom. Its calculated total energy is -0.1010 Ry/atom. The calculation puts the calculated formation energy at -0.09 eV per atom. Its density of states at the Fermi level is 5.357 states/eV per cell. Its mass density is 7.0 Mg/m³.

The space group is Immm (No. 71) and the conventional cell measures 4.7904, 6.7886 and 14.2569 Å, with angles of 90.00, 90.00 and 90.00 degrees. Symmetry generates all atoms from Li at (0.0000, 0.0000, 0.1886), Cd at (0.0000, 0.2118, 0.0000), Cd at (0.0000, 0.2802, 0.3539), Cd at (0.0000, 0.5000, 0.1685) and Ga at (0.0000, 0.0000, 0.5000).

***

(2)
A geometry-optimized Li5Cd6Ga structure. Source: Alexandria, functional PBE-GGA.

For the total magnetization, the calculation gives 0.00 μB/atom. Its calculated total energy is -0.1272 Ry/atom. The calculation puts the calculated formation energy at -0.22 eV per atom. Its density of states at the Fermi level is 6.251 states/eV per cell. Its mass density is 5.8 Mg/m³.

The space group is C2/m (No. 12) and the conventional cell measures 14.7759, 6.6264 and 4.7170 Å, with angles of 90.00, 106.03 and 90.00 degrees. Symmetry generates all atoms from Li at (0.0000, 0.0000, 0.0000), Li at (0.1640, 0.5000, 0.6740), Li at (0.1672, 0.0000, 0.6732), Cd at (0.0000, 0.2405, 0.5000), Cd at (0.1707, 0.2448, 0.1786) and Ga at (0.0000, 0.5000, 0.0000).

***

(3)
A geometry-optimized Li2Cd2Ga structure. Source: Alexandria, functional PBE-GGA.

The excess energy over the best structure of this formula in the dataset is 0 meV/atom. For the total magnetization, the calculation gives 0.00 μB/atom. Its calculated total energy is -0.1437 Ry/atom. The calculation puts the calculated formation energy at -0.22 eV per atom. Its density of states at the Fermi level is 1.912 states/eV per cell. Its mass density is 5.7 Mg/m³.

The space group is C2/m (No. 12) and the conventional cell measures 7.9725, 4.6849 and 5.4921 Å, with angles of 90.00, 118.02 and 90.00 degrees. Symmetry generates all atoms from Li at (0.1969, 0.0000, 0.0926), Cd at (0.0992, 0.5000, 0.2954) and Ga at (0.0000, 0.0000, 0.5000).

***

(4)
A geometry-optimized Li5CdGa6 structure. Source: Alexandria, functional PBE-GGA.

For the total magnetization, the calculation gives 0.00 μB/atom. Its calculated total energy is -0.1933 Ry/atom. The calculation puts the calculated formation energy at -0.24 eV per atom. Its density of states at the Fermi level is 3.369 states/eV per cell. Its mass density is 4.7 Mg/m³.

The space group is P-1 (No. 2) and the conventional cell measures 4.0297, 7.4547 and 7.5004 Å, with angles of 68.71, 74.69 and 74.51 degrees. Symmetry generates all atoms from Li at (0.0000, 0.0000, 0.0000), Li at (0.3320, 0.1678, 0.1678), Li at (0.3349, 0.6649, 0.6655), Cd at (0.0000, 0.5000, 0.5000), Ga at (0.1691, 0.0700, 0.5898), Ga at (0.1695, 0.5895, 0.0707) and Ga at (0.4989, 0.2376, 0.7638).

***

(5)
A geometry-optimized Li6CdGa3 structure. Source: Alexandria, functional PBE-GGA.

For the total magnetization, the calculation gives 0.00 μB/atom. Its calculated total energy is -0.1764 Ry/atom. The calculation puts the calculated formation energy at -0.25 eV per atom. Its density of states at the Fermi level is 4.675 states/eV per cell. Its mass density is 3.7 Mg/m³.

The space group is P2_1/m (No. 11) and the conventional cell measures 7.8249, 4.5363 and 9.8652 Å, with angles of 90.00, 109.52 and 90.00 degrees. Symmetry generates all atoms from Li at (0.0026, 0.2500, 0.1549), Li at (0.0149, 0.2500, 0.6624), Li at (0.2023, 0.7500, 0.6249), Li at (0.2045, 0.2500, 0.9778), Li at (0.4020, 0.7500, 0.4411), Li at (0.4238, 0.2500, 0.7566), Cd at (0.3864, 0.7500, 0.9212), Ga at (0.1964, 0.7500, 0.1499), Ga at (0.1985, 0.2500, 0.4570) and Ga at (0.3863, 0.2500, 0.2737).

***

(6)
A geometry-optimized Li2Cd4Ga structure. Source: Alexandria, functional PBE-GGA.

The excess energy over the best structure of this formula in the dataset is 99 meV/atom. For the total magnetization, the calculation gives 0.00 μB/atom. Its calculated total energy is -0.1121 Ry/atom. The calculation puts the calculated formation energy at -0.02 eV per atom. Its density of states at the Fermi level is 7.513 states/eV per cell. Its mass density is 5.5 Mg/m³.

The space group is Fmmm (No. 69) and the conventional cell measures 5.9372, 9.1801 and 11.7190 Å, with angles of 90.00, 90.00 and 90.00 degrees. Symmetry generates all atoms from Li at (0.0000, 0.0000, 0.1276), Cd at (0.2500, 0.2500, 0.0000), Cd at (0.2500, 0.2500, 0.2500) and Ga at (0.0000, 0.0000, 0.5000).

***

(7)
A geometry-optimized Li2Cd5Ga structure. Source: Alexandria, functional PBE-GGA.

For the total magnetization, the calculation gives 0.00 μB/atom. Its calculated total energy is -0.1163 Ry/atom. The calculation puts the calculated formation energy at -0.15 eV per atom. Its density of states at the Fermi level is 4.286 states/eV per cell. Its mass density is 6.7 Mg/m³.

The space group is C2/m (No. 12) and the conventional cell measures 8.5468, 8.7621 and 5.9966 Å, with angles of 90.00, 134.47 and 90.00 degrees. Symmetry generates all atoms from Li at (0.2500, 0.2500, 0.0000), Cd at (0.0000, 0.0000, 0.0000), Cd at (0.0000, 0.0000, 0.5000), Cd at (0.0000, 0.5000, 0.0000), Cd at (0.2500, 0.2500, 0.5000) and Ga at (0.0000, 0.5000, 0.5000).

***

(8)
A geometry-optimized Li3CdGa structure. Source: Alexandria, functional PBE-GGA.

The excess energy over the best structure of this formula in the dataset is 75 meV/atom. For the total magnetization, the calculation gives 0.00 μB/atom. Its calculated total energy is -0.1561 Ry/atom. The calculation puts the calculated formation energy at -0.19 eV per atom. Its density of states at the Fermi level is 3.638 states/eV per cell. Its mass density is 3.8 Mg/m³.

The space group is P2_1/m (No. 11) and the conventional cell measures 2.8197, 8.9175 and 7.1331 Å, with angles of 90.00, 90.05 and 90.00 degrees. Symmetry generates all atoms from Li at (0.0009, 0.2500, 0.4980), Li at (0.0027, 0.5676, 0.8259), Cd at (0.4992, 0.2500, 0.8650) and Ga at (0.5000, 0.0000, 0.5000).

***

(9)
A geometry-optimized Li5CdGa2 structure. Source: Alexandria, functional PBE-GGA.

The excess energy over the best structure of this formula in the dataset is 0 meV/atom. For the total magnetization, the calculation gives 0.00 μB/atom. Its calculated total energy is -0.1695 Ry/atom. The calculation puts the calculated formation energy at -0.24 eV per atom. Its density of states at the Fermi level is 3.228 states/eV per cell. Its mass density is 3.6 Mg/m³.

The space group is I4/mmm (No. 139) and the conventional cell measures 4.1769, 4.1769 and 15.3575 Å, with angles of 90.00, 90.00 and 90.00 degrees. Symmetry generates all atoms from Li at (0.0000, 0.0000, 0.0000), Li at (0.0000, 0.5000, 0.1360), Cd at (0.0000, 0.0000, 0.5000) and Ga at (0.0000, 0.0000, 0.2496).

***

(10)
A geometry-optimized Li2Cd9Ga structure. Source: Alexandria, functional PBE-GGA.

For the total magnetization, the calculation gives 0.00 μB/atom. Its calculated total energy is -0.0987 Ry/atom. The calculation puts the calculated formation energy at -0.08 eV per atom. Its density of states at the Fermi level is 3.969 states/eV per cell. Its mass density is 7.2 Mg/m³.

The space group is P4/mmm (No. 123) and the conventional cell measures 4.4685, 4.4685 and 12.6812 Å, with angles of 90.00, 90.00 and 90.00 degrees. Symmetry generates all atoms from Li at (0.0000, 0.0000, 0.1632), Cd at (0.0000, 0.5000, 0.0000), Cd at (0.0000, 0.5000, 0.3283), Cd at (0.5000, 0.5000, 0.1655), Cd at (0.5000, 0.5000, 0.5000) and Ga at (0.0000, 0.0000, 0.5000).